# 1
This record from Alexandria describes a geometry-optimized Nd8Sm3Y2 structure. The functional is PBE-GGA.

Properties
relative energy among the computed polymorphs = 0.000 eV/atom
total DFT energy (no corrections) = -4.8419 eV/atom
formation enthalpy at 0 K = 176 meV/atom

Geometry as POSCAR:
```
Nd8Sm3Y2
1.0
7.436 -5.540 0.000
7.436 5.540 0.000
-1.854 0.000 5.513
Nd Sm Y
8 3 2
Direct
0.076 0.076 0.236
0.101 0.560 0.836
0.335 0.335 0.374
0.440 0.899 0.164
0.560 0.101 0.836
0.665 0.665 0.626
0.899 0.440 0.164
0.924 0.924 0.764
0.251 0.749 0.500
0.500 0.500 0.000
0.749 0.251 0.500
0.171 0.171 0.800
0.829 0.829 0.200
```

# 2
This record from Alexandria describes a geometry-optimized Nd2Sm7Y structure. The functional is PBE-GGA.

Properties
relative energy among the computed polymorphs = 0.000 eV/atom
total DFT energy (no corrections) = -4.8886 eV/atom
formation enthalpy at 0 K = 15 meV/atom

Geometry as POSCAR:
```
Nd2Sm7Y
1.0
6.293 0.000 0.000
1.050 6.207 0.000
3.146 2.656 8.693
Nd Sm Y
2 7 1
Direct
0.101 0.001 0.299
0.899 0.999 0.701
0.201 0.499 0.600
0.300 0.000 0.900
0.401 0.500 0.199
0.500 0.000 0.500
0.599 0.500 0.801
0.700 0.000 0.100
0.799 0.501 0.400
0.000 0.500 0.000
```

# 3
This record from Alexandria describes a geometry-optimized Nd3Sm12Y structure. The functional is PBE-GGA.

Properties
total DFT energy (no corrections) = -4.8229 eV/atom
formation enthalpy at 0 K = 14 meV/atom

Geometry as POSCAR:
```
Nd3Sm12Y
1.0
5.140 0.000 0.000
0.000 5.140 0.000
0.000 0.000 20.554
Nd Sm Y
3 12 1
Direct
0.000 0.000 0.000
0.000 0.000 0.251
0.000 0.000 0.749
0.000 0.500 0.125
0.000 0.500 0.376
0.000 0.500 0.624
0.000 0.500 0.875
0.500 0.000 0.125
0.500 0.000 0.376
0.500 0.000 0.624
0.500 0.000 0.875
0.500 0.500 0.000
0.500 0.500 0.251
0.500 0.500 0.500
0.500 0.500 0.749
0.000 0.000 0.500
```

# 4
This record from Alexandria describes a geometry-optimized Nd6Sm2Y3 structure. The functional is PBE-GGA.

Properties
relative energy among the computed polymorphs = 0.266 eV/atom
total DFT energy (no corrections) = -4.9425 eV/atom
formation enthalpy at 0 K = 279 meV/atom

Geometry as POSCAR:
```
Nd6Sm2Y3
1.0
-2.419 2.419 16.938
2.419 -2.419 16.938
2.419 2.419 -16.938
Nd Sm Y
6 2 3
Direct
0.120 0.620 0.500
0.196 0.196 0.000
0.380 0.880 0.500
0.620 0.120 0.500
0.804 0.804 0.000
0.880 0.380 0.500
0.045 0.045 0.000
0.955 0.955 0.000
0.298 0.298 0.000
0.500 0.500 0.000
0.702 0.702 0.000
```

# 5
This record from Alexandria describes a geometry-optimized Nd5Sm3Y4 structure. The functional is PBE-GGA.

Properties
relative energy among the computed polymorphs = 0.198 eV/atom
total DFT energy (no corrections) = -5.1108 eV/atom
formation enthalpy at 0 K = 210 meV/atom

Geometry as POSCAR:
```
Nd5Sm3Y4
1.0
8.161 -3.016 0.000
8.161 3.016 0.000
-4.181 0.000 8.420
Nd Sm Y
5 3 4
Direct
0.000 0.000 0.000
0.076 0.076 0.699
0.292 0.292 0.770
0.708 0.708 0.230
0.924 0.924 0.301
0.174 0.174 0.386
0.500 0.500 0.000
0.826 0.826 0.614
0.289 0.289 0.123
0.419 0.419 0.561
0.581 0.581 0.439
0.711 0.711 0.877
```

# 6
This record from Alexandria describes a geometry-optimized Nd4Sm10Y structure. The functional is PBE-GGA.

Properties
total DFT energy (no corrections) = -4.4491 eV/atom
formation enthalpy at 0 K = 399 meV/atom

Geometry as POSCAR:
```
Nd4Sm10Y
1.0
-4.936 4.936 5.827
4.936 -4.936 5.827
4.936 4.936 -5.827
Nd Sm Y
4 10 1
Direct
0.067 0.682 0.749
0.318 0.067 0.385
0.682 0.933 0.615
0.933 0.318 0.251
0.109 0.218 0.652
0.218 0.566 0.109
0.250 0.750 0.500
0.434 0.543 0.652
0.457 0.109 0.891
0.543 0.891 0.109
0.566 0.457 0.348
0.750 0.250 0.500
0.782 0.434 0.891
0.891 0.782 0.348
0.500 0.500 0.000
```

# 7
This record from Alexandria describes a geometry-optimized NdSm2Y8 structure. The functional is PBE-GGA.

Properties
relative energy among the computed polymorphs = 0.016 eV/atom
total DFT energy (no corrections) = -5.8277 eV/atom
formation enthalpy at 0 K = 165 meV/atom

Geometry as POSCAR:
```
NdSm2Y8
1.0
8.336 -3.346 0.000
8.336 3.346 0.000
-1.076 0.000 6.620
Nd Sm Y
1 2 8
Direct
0.000 0.000 0.000
0.245 0.245 0.310
0.755 0.755 0.690
0.173 0.649 0.595
0.205 0.205 0.802
0.351 0.827 0.405
0.412 0.412 0.097
0.588 0.588 0.903
0.649 0.173 0.595
0.795 0.795 0.198
0.827 0.351 0.405
```

# 8
This record from Alexandria describes a geometry-optimized NdSm5Y3 structure. The functional is PBE-GGA.

Properties
relative energy among the computed polymorphs = 0.125 eV/atom
total DFT energy (no corrections) = -4.9027 eV/atom
formation enthalpy at 0 K = 403 meV/atom

Geometry as POSCAR:
```
NdSm5Y3
1.0
8.484 -4.080 0.000
8.484 4.080 0.000
-8.172 0.000 9.396
Nd Sm Y
2 10 6
Direct
0.237 0.237 0.129
0.763 0.763 0.871
0.130 0.130 0.571
0.139 0.734 0.223
0.266 0.861 0.777
0.303 0.303 0.933
0.318 0.682 0.000
0.682 0.318 0.000
0.697 0.697 0.067
0.734 0.139 0.223
0.861 0.266 0.777
0.870 0.870 0.429
0.000 0.000 0.000
0.179 0.179 0.343
0.386 0.386 0.687
0.500 0.500 0.500
0.614 0.614 0.313
0.821 0.821 0.657
```